Entry 1:
IrPt4Pb | GGA-PBE | optimized geometry

The calculation puts the electronic total energy at -5.765 eV per atom. The value obtained for the mass density is 18120 kg/m3. The total magnetic moment comes out at 1.3 μB/f.u.

Lattice parameters (Å, degrees): 7.562 7.562 7.562 90.00 90.00 90.00
Space group F-43m (No. 216)
Asymmetric unit:
Ir1 0.000 0.000 0.000 x4
Pt1 0.126 0.126 0.374 x16
Pb1 0.250 0.250 0.750 x4

Entry 2:
AcTlSbRh3 | GGA-PBE | optimized geometry

For the raw formation energy, the calculation gives -0.366 eV per atom. The calculation puts the electronic total energy at -5.808 eV per atom. The value obtained for the mass density is 9677 kg/m3. The total magnetic moment comes out at 0.0 μB/f.u.

Lattice parameters (Å, degrees): 5.868 17.055 5.911 90.00 90.00 90.00
Space group Cmcm (No. 63)
Asymmetric unit:
Ac1 0.000 0.238 0.250 x4
Tl1 0.000 0.108 0.750 x4
Sb1 0.000 0.416 0.750 x4
Rh1 0.000 0.265 0.750 x4
Rh2 0.238 0.000 0.000 x8

Entry 3:
Pm5PrP6 | GGA-PBE | optimized geometry

The calculation puts the electronic total energy at -6.638 eV per atom. The value obtained for the mass density is 5783 kg/m3. The total magnetic moment comes out at 0.0 μB/f.u.

Lattice parameters (Å, degrees): 7.180 12.431 7.178 90.00 109.48 90.00
Space group C2/m (No. 12)
Asymmetric unit:
Pm1 0.000 0.000 0.000 x2
Pm2 0.000 0.167 0.500 x4
Pm3 0.000 0.334 0.000 x4
Pr1 0.000 0.500 0.500 x2
P1 0.248 0.000 0.751 x4
P2 0.248 0.168 0.249 x8